Entry 1:
A plane-wave DFT calculation with GGA-PBE was carried out for a relaxed structure of MnZn7Pd4.

a b c (Å): 4.690 8.532 5.407
angles (deg): 83.76 64.30 74.05
Atoms (fractional coordinates):
Pd1 0.396 0.775 0.433
Pd2 0.273 0.314 0.140
Pd3 0.727 0.686 0.860
Pd4 0.604 0.225 0.567
Zn1 0.036 0.628 0.300
Zn2 0.500 0.000 0.000
Zn3 0.791 0.914 0.505
Zn4 0.657 0.459 0.227
Zn5 0.964 0.372 0.700
Zn6 0.343 0.541 0.773
Zn7 0.209 0.086 0.495
Mn1 0.000 0.000 0.000

## Properties
SG = No. 12
ΔH_f (0 K) = -0.138 eV per atom
uncorrected energy = -40.51 eV/cell
M_tot = 0.31 μB per atom

---

Entry 2:
A plane-wave DFT calculation with GGA-PBE was carried out for a relaxed structure of BeHgRhBr2.

a b c (Å): 5.498 5.358 5.498
angles (deg): 90.00 90.00 90.00
Atoms (fractional coordinates):
Br1 0.500 0.000 0.000
Br2 0.000 0.000 0.500
Hg1 0.000 0.000 0.000
Rh1 0.000 0.500 0.000
Be1 0.500 0.500 0.500

## Properties
SG = No. 123
formation energy from raw total energies = 1.2322 eV/atom
uncorrected energy = -8.56 eV/cell
M_tot = 0.23 μB per atom

---

Entry 3:
A plane-wave DFT calculation with GGA-PBE was carried out for a relaxed structure of Na3Sr2Tl2.

a b c (Å): 4.188 5.174 12.464
angles (deg): 101.98 90.00 90.00
Atoms (fractional coordinates):
Tl1 0.500 0.292 0.583
Tl2 0.500 0.708 0.417
Na1 0.500 0.574 0.148
Na2 0.500 0.426 0.852
Na3 0.000 0.000 0.000
Sr1 0.000 0.827 0.654
Sr2 0.000 0.173 0.346

## Properties
SG = No. 65
ΔH_f (0 K) = -0.198 eV per atom
uncorrected energy = -13.44 eV/cell
M_tot = 0.00 μB per atom

---

Entry 4:
A plane-wave DFT calculation with GGA-PBE was carried out for a relaxed structure of NdTm4Au5.

a b c (Å): 3.552 3.552 18.227
angles (deg): 90.00 90.00 90.00
Atoms (fractional coordinates):
Au1 0.500 0.500 0.114
Au2 0.500 0.500 0.304
Au3 0.500 0.500 0.886
Au4 0.500 0.500 0.696
Au5 0.500 0.500 0.500
Tm1 0.000 0.000 0.598
Tm2 0.000 0.000 0.205
Tm3 0.000 0.000 0.795
Tm4 0.000 0.000 0.402
Nd1 0.000 0.000 0.000

## Properties
SG = No. 123
ΔH_f (0 K) = -0.869 eV per atom
uncorrected energy = -47.73 eV/cell
M_tot = 0.00 μB per atom

---

Entry 5:
A plane-wave DFT calculation with GGA-PBE was carried out for a relaxed structure of NaTi3Pd.

a b c (Å): 4.609 4.609 4.609
angles (deg): 90.00 90.00 90.00
Atoms (fractional coordinates):
Pd1 0.500 0.500 0.500
Ti1 0.000 0.000 0.500
Ti2 0.500 0.000 0.000
Ti3 0.000 0.500 0.000
Na1 0.000 0.000 0.000

## Properties
SG = No. 221
ΔH_f (0 K) = 1.587 eV per atom
uncorrected energy = -22.26 eV/cell
energy relative to the lowest polymorph listed for this composition = 925 meV/atom
M_tot = 0.00 μB per atom

---

Entry 6:
A plane-wave DFT calculation with GGA-PBE was carried out for a relaxed structure of PmPrSmCd.

a b c (Å): 3.714 3.714 9.135
angles (deg): 90.00 90.00 90.00
Atoms (fractional coordinates):
Cd1 0.000 0.000 0.573
Pr1 0.000 0.000 0.070
Pm1 0.500 0.500 0.349
Sm1 0.500 0.500 0.793

## Properties
SG = No. 99
ΔH_f (0 K) = -0.152 eV per atom
uncorrected energy = -15.77 eV/cell
energy relative to the lowest polymorph listed for this composition = 0 meV/atom
M_tot = 0.00 μB per atom

---

Entry 7:
A plane-wave DFT calculation with GGA-PBE was carried out for a relaxed structure of Dy4HgTe2As.

a b c (Å): 4.181 7.467 7.550
angles (deg): 71.69 90.00 90.00
Atoms (fractional coordinates):
Te1 0.500 0.000 0.500
Te2 0.000 0.000 0.000
As1 0.000 0.500 0.500
Hg1 0.500 0.500 0.000
Dy1 0.500 0.275 0.734
Dy2 0.000 0.733 0.748
Dy3 0.000 0.267 0.252
Dy4 0.500 0.725 0.266

## Properties
SG = No. 10
formation energy from raw total energies = -1.1453 eV/atom
uncorrected energy = -38.81 eV/cell
M_tot = 0.00 μB per atom

---

Entry 8:
A plane-wave DFT calculation with GGA-PBE was carried out for a relaxed structure of MnSb2Mo.

a b c (Å): 10.596 10.596 10.596
angles (deg): 17.02 17.02 17.02
Atoms (fractional coordinates):
Sb1 0.223 0.223 0.223
Sb2 0.025 0.025 0.025
Mo1 0.764 0.764 0.764
Mn1 0.488 0.488 0.488

## Properties
SG = No. 160
formation energy from raw total energies = 0.3113 eV/atom
uncorrected energy = -27.00 eV/cell
energy relative to the lowest polymorph listed for this composition = 201 meV/atom
M_tot = 0.45 μB per atom

---

Entry 9:
A plane-wave DFT calculation with GGA-PBE was carried out for a relaxed structure of AsPRh2.

a b c (Å): 4.226 4.226 5.218
angles (deg): 80.48 80.48 44.85
Atoms (fractional coordinates):
Rh1 0.752 0.752 0.762
Rh2 0.980 0.980 0.133
As1 0.490 0.490 0.531
P1 0.278 0.278 0.074

## Properties
SG = No. 8
ΔH_f (0 K) = -0.396 eV per atom
uncorrected energy = -26.35 eV/cell
energy relative to the lowest polymorph listed for this composition = 45 meV/atom
M_tot = 0.00 μB per atom

---

Entry 10:
A plane-wave DFT calculation with GGA-PBE was carried out for a relaxed structure of CrIn2Au2.

a b c (Å): 7.167 7.167 3.926
angles (deg): 90.00 90.00 90.00
Atoms (fractional coordinates):
In1 0.329 0.171 0.500
In2 0.829 0.329 0.500
In3 0.671 0.829 0.500
In4 0.171 0.671 0.500
Au1 0.361 0.861 0.000
Au2 0.139 0.361 0.000
Au3 0.639 0.139 0.000
Au4 0.861 0.639 0.000
Cr1 0.500 0.500 0.000
Cr2 0.000 0.000 0.000

## Properties
SG = No. 127
ΔH_f (0 K) = 0.422 eV per atom
uncorrected energy = -39.09 eV/cell
M_tot = 0.03 μB per atom

---

Entry 11:
A plane-wave DFT calculation with GGA-PBE was carried out for a relaxed structure of Y3SbPt.

a b c (Å): 5.399 5.399 5.399
angles (deg): 90.00 90.00 90.00
Atoms (fractional coordinates):
Sb1 0.500 0.500 0.500
Y1 0.500 0.000 0.000
Y2 0.000 0.500 0.000
Y3 0.000 0.000 0.500
Pt1 0.000 0.000 0.000

## Properties
SG = No. 221
formation energy from raw total energies = -0.6320 eV/atom
uncorrected energy = -32.72 eV/cell
energy relative to the lowest polymorph listed for this composition = 0 meV/atom
M_tot = 0.00 μB per atom

---

Entry 12:
A plane-wave DFT calculation with GGA-PBE was carried out for a relaxed structure of SrMg8Cu4.

a b c (Å): 5.442 7.370 7.370
angles (deg): 82.17 68.33 68.33
Atoms (fractional coordinates):
Cu1 0.000 0.500 0.000
Cu2 0.500 0.000 0.500
Cu3 0.500 0.500 0.000
Cu4 0.000 0.000 0.500
Sr1 0.000 0.000 0.000
Mg1 0.000 0.656 0.344
Mg2 0.344 0.656 0.656
Mg3 0.500 0.779 0.221
Mg4 0.721 0.779 0.779
Mg5 0.656 0.344 0.344
Mg6 0.000 0.344 0.656
Mg7 0.279 0.221 0.221
Mg8 0.500 0.221 0.779

## Properties
SG = No. 139
ΔH_f (0 K) = -0.073 eV per atom
uncorrected energy = -31.77 eV/cell
M_tot = 0.00 μB per atom

---

Entry 13:
A plane-wave DFT calculation with GGA-PBE was carried out for a relaxed structure of Zn2TeBr.

a b c (Å): 4.354 4.354 7.676
angles (deg): 63.95 63.95 54.07
Atoms (fractional coordinates):
Zn1 0.035 0.035 0.039
Zn2 0.465 0.465 0.461
Br1 0.750 0.750 0.750
Te1 0.250 0.250 0.250

## Properties
SG = No. 12
formation energy from raw total energies = -0.2621 eV/atom
uncorrected energy = -8.41 eV/cell
energy relative to the lowest polymorph listed for this composition = 12 meV/atom
M_tot = 0.00 μB per atom

---

Entry 14:
A plane-wave DFT calculation with GGA-PBE was carried out for a relaxed structure of K2RhAu.

a b c (Å): 8.894 8.894 6.894
angles (deg): 49.83 49.83 90.00
Atoms (fractional coordinates):
Rh1 0.500 0.500 0.000
Rh2 0.250 0.750 0.500
K1 0.375 0.397 0.750
K2 0.603 0.125 0.250
K3 0.147 0.625 0.250
K4 0.875 0.853 0.750
Au1 0.750 0.250 0.500
Au2 0.000 0.000 0.000

## Properties
SG = No. 122
ΔH_f (0 K) = 0.493 eV per atom
uncorrected energy = -21.70 eV/cell
energy relative to the lowest polymorph listed for this composition = 344 meV/atom
M_tot = 0.08 μB per atom

---

Entry 15:
A plane-wave DFT calculation with GGA-PBE was carried out for a relaxed structure of Mg14AlV.

a b c (Å): 6.273 6.273 10.250
angles (deg): 90.00 90.00 120.47
Atoms (fractional coordinates):
V1 0.332 0.668 0.500
Mg1 0.834 0.166 0.000
Mg2 0.167 0.337 0.262
Mg3 0.332 0.168 0.000
Mg4 0.668 0.332 0.253
Mg5 0.668 0.332 0.747
Mg6 0.169 0.831 0.255
Mg7 0.663 0.833 0.738
Mg8 0.832 0.668 0.000
Mg9 0.167 0.337 0.738
Mg10 0.837 0.666 0.500
Mg11 0.334 0.163 0.500
Mg12 0.663 0.833 0.262
Mg13 0.169 0.831 0.745
Mg14 0.333 0.667 0.000
Al1 0.833 0.167 0.500

## Properties
SG = No. 38
ΔH_f (0 K) = 0.066 eV per atom
uncorrected energy = -34.13 eV/cell
energy relative to the lowest polymorph listed for this composition = 0 meV/atom
M_tot = 0.21 μB per atom

---

Entry 16:
A plane-wave DFT calculation with GGA-PBE was carried out for a relaxed structure of BiNF2.

a b c (Å): 3.789 6.161 6.196
angles (deg): 117.33 90.01 90.00
Atoms (fractional coordinates):
Bi1 0.278 0.766 0.381
Bi2 0.778 0.420 0.722
F1 0.777 0.498 0.382
F2 0.777 0.014 0.656
F3 0.277 0.688 0.721
F4 0.277 0.172 0.448
N1 0.778 0.759 0.134
N2 0.278 0.427 0.970

## Properties
SG = No. 11
formation energy from raw total energies = -0.6220 eV/atom
uncorrected energy = -36.87 eV/cell
energy relative to the lowest polymorph listed for this composition = 0 meV/atom
M_tot = 0.49 μB per atom

---

Entry 17:
A plane-wave DFT calculation with GGA-PBE was carried out for a relaxed structure of Ac2NdErO6.

a b c (Å): 6.085 6.281 8.792
angles (deg): 90.00 90.24 90.00
Atoms (fractional coordinates):
Ac1 0.516 0.548 0.751
Ac2 0.484 0.452 0.249
Ac3 0.984 0.048 0.749
Ac4 0.016 0.952 0.251
O1 0.202 0.191 0.434
O2 0.625 0.058 0.257
O3 0.375 0.942 0.743
O4 0.311 0.703 0.431
O5 0.702 0.309 0.934
O6 0.689 0.297 0.569
O7 0.875 0.558 0.243
O8 0.125 0.442 0.757
O9 0.189 0.203 0.069
O10 0.811 0.797 0.931
O11 0.798 0.809 0.566
O12 0.298 0.691 0.066
Nd1 0.500 0.000 0.000
Nd2 0.000 0.500 0.500
Er1 0.500 0.000 0.500
Er2 0.000 0.500 0.000

## Properties
SG = No. 14
formation energy from raw total energies = -3.3855 eV/atom
uncorrected energy = -162.30 eV/cell
M_tot = 0.00 μB per atom

---

Entry 18:
A plane-wave DFT calculation with GGA-PBE was carried out for a relaxed structure of CaTlIN2.

a b c (Å): 4.910 4.910 6.408
angles (deg): 90.00 90.00 90.00
Atoms (fractional coordinates):
I1 0.000 0.000 0.500
N1 0.000 0.500 0.000
N2 0.500 0.000 0.000
Tl1 0.500 0.500 0.500
Ca1 0.000 0.000 0.000

## Properties
SG = No. 123
formation energy from raw total energies = 0.7908 eV/atom
uncorrected energy = -18.61 eV/cell
energy relative to the lowest polymorph listed for this composition = 0 meV/atom
M_tot = 0.80 μB per atom

---

Entry 19:
A plane-wave DFT calculation with GGA-PBE was carried out for a relaxed structure of Si5Au12Se3.

a b c (Å): 13.068 13.068 13.068
angles (deg): 109.47 109.47 109.47
Atoms (fractional coordinates):
Au1 0.720 0.118 0.045
Au2 0.898 0.825 0.780
Au3 0.927 0.102 0.882
Au4 0.118 0.398 0.073
Au5 0.955 0.382 0.280
Au6 0.325 0.545 0.427
Au7 0.602 0.720 0.675
Au8 0.398 0.280 0.325
Au9 0.175 0.073 0.955
Au10 0.720 0.602 0.175
Au11 0.675 0.455 0.573
Au12 0.045 0.427 0.825
Au13 0.927 0.825 0.545
Au14 0.398 0.118 0.573
Au15 0.618 0.045 0.220
Au16 0.573 0.955 0.675
Au17 0.455 0.675 0.073
Au18 0.780 0.455 0.382
Au19 0.675 0.220 0.602
Au20 0.545 0.220 0.118
Au21 0.102 0.927 0.382
Au22 0.427 0.382 0.602
Au23 0.045 0.618 0.720
Au24 0.573 0.618 0.398
Au25 0.455 0.780 0.882
Au26 0.825 0.927 0.045
Au27 0.882 0.602 0.927
Au28 0.898 0.073 0.618
Au29 0.118 0.720 0.545
Au30 0.427 0.045 0.325
Au31 0.073 0.175 0.455
Au32 0.545 0.325 0.927
Au33 0.382 0.955 0.780
Au34 0.780 0.325 0.898
Au35 0.175 0.102 0.720
Au36 0.280 0.398 0.825
Au37 0.882 0.280 0.455
Au38 0.618 0.573 0.898
Au39 0.602 0.882 0.427
Au40 0.073 0.898 0.118
Au41 0.102 0.175 0.220
Au42 0.325 0.780 0.398
Au43 0.220 0.675 0.102
Au44 0.280 0.882 0.955
Au45 0.220 0.545 0.618
Au46 0.955 0.573 0.175
Au47 0.825 0.898 0.280
Au48 0.382 0.427 0.102
Si1 0.125 0.750 0.375
Si2 0.000 0.500 0.500
Si3 0.750 0.125 0.875
Si4 0.000 0.000 0.500
Si5 0.500 0.500 0.000
Si6 0.500 0.000 0.000
Si7 0.125 0.375 0.250
Si8 0.250 0.375 0.625
Si9 0.875 0.250 0.625
Si10 0.500 0.500 0.500
Si11 0.375 0.125 0.750
Si12 0.625 0.875 0.250
Si13 0.250 0.875 0.125
Si14 0.625 0.750 0.875
Si15 0.750 0.625 0.375
Si16 0.500 0.000 0.500
Si17 0.875 0.625 0.750
Si18 0.375 0.250 0.125
Si19 0.000 0.500 0.000
Si20 0.000 0.000 0.000
Se1 0.625 0.375 0.750
Se2 0.875 0.750 0.125
Se3 0.875 0.125 0.250
Se4 0.125 0.875 0.750
Se5 0.625 0.250 0.375
Se6 0.375 0.625 0.250
Se7 0.750 0.375 0.125
Se8 0.250 0.125 0.375
Se9 0.125 0.250 0.875
Se10 0.250 0.625 0.875
Se11 0.375 0.750 0.625
Se12 0.750 0.875 0.625

## Properties
SG = No. 230
formation energy from raw total energies = 0.1622 eV/atom
uncorrected energy = -294.61 eV/cell
M_tot = 0.00 μB per atom

---

Entry 20:
A plane-wave DFT calculation with GGA-PBE was carried out for a relaxed structure of MnBeZn2.

a b c (Å): 8.808 8.808 8.808
angles (deg): 16.79 16.79 16.79
Atoms (fractional coordinates):
Zn1 0.007 0.007 0.007
Zn2 0.243 0.243 0.243
Mn1 0.757 0.757 0.757
Be1 0.493 0.493 0.493

## Properties
SG = No. 160
ΔH_f (0 K) = 0.168 eV per atom
uncorrected energy = -14.77 eV/cell
M_tot = 0.39 μB per atom

---

Entry 21:
A plane-wave DFT calculation with GGA-PBE was carried out for a relaxed structure of Ac5SiGe6.

a b c (Å): 5.707 8.776 8.886
angles (deg): 60.41 78.79 66.81
Atoms (fractional coordinates):
Ac1 0.500 0.129 0.742
Ac2 0.500 0.871 0.258
Ac3 0.000 0.316 0.368
Ac4 0.500 0.500 0.000
Ac5 0.000 0.684 0.632
Ge1 0.868 0.727 0.000
Ge2 0.838 0.079 0.269
Ge3 0.132 0.273 0.000
Ge4 0.838 0.348 0.731
Ge5 0.162 0.921 0.731
Ge6 0.162 0.652 0.269
Si1 0.000 0.000 0.000

## Properties
SG = No. 12
formation energy from raw total energies = -0.4061 eV/atom
uncorrected energy = -58.54 eV/cell
M_tot = 0.00 μB per atom